[1]
LaZrSe: PBEsol geometry, SCAN.

Lattice parameters (Å, degrees): 7.075 7.075 7.075 90.00 90.00 90.00
Sites, in units of the cell vectors:
La 0.000 0.000 0.000
La 0.000 0.500 0.500
La 0.500 0.000 0.500
La 0.500 0.500 0.000
Zr 0.250 0.250 0.250
Zr 0.250 0.750 0.750
Zr 0.750 0.250 0.750
Zr 0.750 0.750 0.250
Se 0.250 0.250 0.750
Se 0.250 0.750 0.250
Se 0.750 0.250 0.250
Se 0.750 0.750 0.750

Values from the calculation:
Total magnetic moment: 1.655 μB/atom
Formation energy without anion corrections: 185 meV/atom
DOS(E_F): 1.6 states/eV/f.u.

[2]
La2ZrSe: PBEsol geometry, SCAN.

Lattice parameters (Å, degrees): 3.746 3.746 28.338 90.00 90.00 120.00
Sites, in units of the cell vectors:
La 0.000 0.000 0.239
La 0.000 0.000 0.761
La 0.333 0.667 0.427
La 0.333 0.667 0.906
La 0.667 0.333 0.094
La 0.667 0.333 0.573
Zr 0.000 0.000 0.000
Zr 0.333 0.667 0.667
Zr 0.667 0.333 0.333
Se 0.000 0.000 0.500
Se 0.333 0.667 0.167
Se 0.667 0.333 0.833

Values from the calculation:
Total magnetic moment: 0.000 μB/atom
Formation energy without anion corrections: -700 meV/atom
DOS(E_F): 4.1 states/eV/f.u.

[3]
La2Si: PBEsol geometry, SCAN.

Lattice parameters (Å, degrees): 8.048 8.048 4.378 90.00 90.00 120.00
Sites, in units of the cell vectors:
La 0.000 0.429 0.000
La 0.000 0.741 0.500
La 0.259 0.259 0.500
La 0.429 0.000 0.000
La 0.571 0.571 0.000
La 0.741 0.000 0.500
Si 0.000 0.000 0.000
Si 0.333 0.667 0.500
Si 0.667 0.333 0.500

Values from the calculation:
Total magnetic moment: 0.000 μB/atom
Formation energy without anion corrections: -575 meV/atom
DOS(E_F): 2.5 states/eV/f.u.

[4]
La5Si4: PBEsol geometry, SCAN.

Lattice parameters (Å, degrees): 7.947 7.947 15.305 90.00 90.00 90.00
Sites, in units of the cell vectors:
La 0.011 0.378 0.051
La 0.019 0.874 0.124
La 0.122 0.511 0.301
La 0.126 0.981 0.376
La 0.193 0.807 0.750
La 0.307 0.307 0.500
La 0.374 0.481 0.874
La 0.378 0.011 0.949
La 0.481 0.374 0.126
La 0.489 0.878 0.199
La 0.511 0.122 0.699
La 0.519 0.626 0.626
La 0.622 0.989 0.449
La 0.626 0.519 0.374
La 0.693 0.693 0.000
La 0.807 0.193 0.250
La 0.874 0.019 0.876
La 0.878 0.489 0.801
La 0.981 0.126 0.624
La 0.989 0.622 0.551
Si 0.079 0.710 0.941
Si 0.169 0.196 0.797
Si 0.196 0.169 0.203
Si 0.210 0.421 0.691
Si 0.290 0.921 0.559
Si 0.304 0.669 0.047
Si 0.331 0.696 0.453
Si 0.421 0.210 0.309
Si 0.579 0.790 0.809
Si 0.669 0.304 0.953
Si 0.696 0.331 0.547
Si 0.710 0.079 0.059
Si 0.790 0.579 0.191
Si 0.804 0.831 0.703
Si 0.831 0.804 0.297
Si 0.921 0.290 0.441

Values from the calculation:
Total magnetic moment: 0.000 μB/atom
Formation energy without anion corrections: -737 meV/atom
DOS(E_F): 8.3 states/eV/f.u.

[5]
La2Si: PBEsol geometry, SCAN.

Lattice parameters (Å, degrees): 4.123 6.490 13.044 90.00 90.00 90.00
Sites, in units of the cell vectors:
La 0.000 0.000 0.198
La 0.000 0.000 0.802
La 0.000 0.227 0.500
La 0.000 0.773 0.500
La 0.500 0.273 0.000
La 0.500 0.500 0.302
La 0.500 0.500 0.698
La 0.500 0.727 0.000
Si 0.000 0.500 0.138
Si 0.000 0.500 0.862
Si 0.500 0.000 0.362
Si 0.500 0.000 0.638

Values from the calculation:
Total magnetic moment: 0.002 μB/atom
Formation energy without anion corrections: -499 meV/atom
DOS(E_F): 3.1 states/eV/f.u.

[6]
La2Si: PBEsol geometry, SCAN.

Lattice parameters (Å, degrees): 7.128 7.128 7.128 90.00 90.00 90.00
Sites, in units of the cell vectors:
La 0.250 0.250 0.250
La 0.250 0.250 0.750
La 0.250 0.750 0.250
La 0.250 0.750 0.750
La 0.750 0.250 0.250
La 0.750 0.250 0.750
La 0.750 0.750 0.250
La 0.750 0.750 0.750
Si 0.000 0.000 0.000
Si 0.000 0.500 0.500
Si 0.500 0.000 0.500
Si 0.500 0.500 0.000

Values from the calculation:
Total magnetic moment: 0.000 μB/atom
Formation energy without anion corrections: -543 meV/atom
DOS(E_F): 3.0 states/eV/f.u.

[7]
La2Si3: PBEsol geometry, SCAN.

Lattice parameters (Å, degrees): 3.981 4.250 14.285 90.00 90.00 90.00
Sites, in units of the cell vectors:
La 0.000 0.000 0.000
La 0.000 0.500 0.250
La 0.500 0.000 0.750
La 0.500 0.500 0.500
Si 0.000 0.000 0.421
Si 0.000 0.500 0.665
Si 0.000 0.500 0.829
Si 0.500 0.000 0.165
Si 0.500 0.000 0.329
Si 0.500 0.500 0.921

Values from the calculation:
Total magnetic moment: 0.000 μB/atom
Formation energy without anion corrections: -671 meV/atom
DOS(E_F): 1.4 states/eV/f.u.

[8]
La5Si3: PBEsol geometry, SCAN.

Lattice parameters (Å, degrees): 8.789 8.789 8.789 126.44 126.44 79.16
Sites, in units of the cell vectors:
La 0.000 0.000 0.000
La 0.031 0.531 0.860
La 0.171 0.031 0.500
La 0.329 0.829 0.860
La 0.469 0.329 0.500
La 0.500 0.500 0.000
La 0.531 0.671 0.500
La 0.671 0.171 0.140
La 0.829 0.969 0.500
La 0.969 0.469 0.140
Si 0.112 0.388 0.500
Si 0.250 0.250 0.000
Si 0.388 0.888 0.275
Si 0.612 0.112 0.725
Si 0.750 0.750 0.000
Si 0.888 0.612 0.500

Values from the calculation:
Total magnetic moment: 0.056 μB/atom
Formation energy without anion corrections: -654 meV/atom
DOS(E_F): 6.0 states/eV/f.u.

[9]
La2Si: PBEsol geometry, SCAN.

Lattice parameters (Å, degrees): 4.434 11.917 6.586 90.00 90.00 90.00
Sites, in units of the cell vectors:
La 0.000 0.001 0.000
La 0.000 0.296 0.254
La 0.000 0.704 0.754
La 0.000 0.999 0.500
La 0.500 0.204 0.754
La 0.500 0.499 0.500
La 0.500 0.501 0.000
La 0.500 0.796 0.254
Si 0.000 0.379 0.751
Si 0.000 0.621 0.251
Si 0.500 0.121 0.251
Si 0.500 0.879 0.751

Values from the calculation:
Total magnetic moment: 0.000 μB/atom
Formation energy without anion corrections: -531 meV/atom
DOS(E_F): 2.3 states/eV/f.u.

[10]
La3Si: PBEsol geometry, SCAN.

Lattice parameters (Å, degrees): 6.976 6.976 5.129 90.00 90.00 120.00
Sites, in units of the cell vectors:
La 0.182 0.365 0.250
La 0.182 0.818 0.250
La 0.365 0.182 0.750
La 0.635 0.818 0.250
La 0.818 0.182 0.750
La 0.818 0.635 0.750
Si 0.333 0.667 0.750
Si 0.667 0.333 0.250

Values from the calculation:
Total magnetic moment: 0.000 μB/atom
Formation energy without anion corrections: -361 meV/atom
DOS(E_F): 3.5 states/eV/f.u.

[11]
La3Si2: PBEsol geometry, SCAN.

Lattice parameters (Å, degrees): 7.826 7.826 4.363 90.00 90.00 90.00
Sites, in units of the cell vectors:
La 0.000 0.000 0.000
La 0.177 0.323 0.500
La 0.323 0.823 0.500
La 0.500 0.500 0.000
La 0.677 0.177 0.500
La 0.823 0.677 0.500
Si 0.110 0.610 0.000
Si 0.390 0.110 0.000
Si 0.610 0.890 0.000
Si 0.890 0.390 0.000

Values from the calculation:
Total magnetic moment: 0.001 μB/atom
Formation energy without anion corrections: -679 meV/atom
DOS(E_F): 4.7 states/eV/f.u.

[12]
La3Si: PBEsol geometry, SCAN.

Lattice parameters (Å, degrees): 7.893 9.593 6.250 90.00 90.00 90.00
Sites, in units of the cell vectors:
La 0.021 0.250 0.120
La 0.179 0.048 0.609
La 0.179 0.452 0.609
La 0.321 0.548 0.109
La 0.321 0.952 0.109
La 0.479 0.750 0.620
La 0.521 0.250 0.380
La 0.679 0.048 0.891
La 0.679 0.452 0.891
La 0.821 0.548 0.391
La 0.821 0.952 0.391
La 0.979 0.750 0.880
Si 0.124 0.750 0.407
Si 0.376 0.250 0.907
Si 0.624 0.750 0.093
Si 0.876 0.250 0.593

Values from the calculation:
Total magnetic moment: 0.000 μB/atom
Formation energy without anion corrections: -432 meV/atom
DOS(E_F): 4.2 states/eV/f.u.